Below is a relaxed PmZrSb2 crystal, with properties calculated at the GGA-PBE level.

Cell: 3.633 3.633 7.760 Å, 90.00 90.00 90.00°
Space group P4/mmm (No. 123)
Unique sites:
Pm 0.000 0.000 0.000
Zr 0.000 0.000 0.500
Sb 0.500 0.500 0.277

Computed properties:
As for the magnetic moment: 0.3 μB/cell. The uncorrected formation energy is -0.66 eV/atom. The total energy is -6.050 eV/atom. As for the density of states at the Fermi level: 4.6 states/eV/cell.